# Be2IrSe

A relaxed structure of Be2IrSe (PBE-GGA, Alexandria via LeMat-Bulk).

Computed properties:
* raw total energy: -19.705 eV for the cell shown
* spin magnetization: 0.0 μB/cell

Cell and atoms, written as POSCAR:
```
Be2IrSe
1.0
-2.7324 3.0831 -0.9261
-1.7611 1.6072 -3.4849
-3.3721 -3.0364 0.4713
Be Ir Se
2 1 1
Cartesian
-3.2069 -2.5195 0.2359 Be
-4.0981 0.3099 -1.7344 Be
-5.8992 1.2404 -2.9547 Ir
-1.9664 0.4135 -0.9849 Se
```



# BeIrSe2

A relaxed structure of BeIrSe2 (PBE-GGA, Alexandria via LeMat-Bulk).

Computed properties:
* raw total energy: -20.159 eV for the cell shown
* spin magnetization: 0.0 μB/cell

Cell and atoms, written as POSCAR:
```
BeIrSe2
1.0
-2.3717 2.9099 -1.8343
-1.6553 0.0944 -3.8351
-5.5769 -2.2443 1.1611
Be Ir Se
1 1 2
Cartesian
-4.3441 0.7750 -2.6460 Be
-2.9930 -0.0091 -1.0588 Ir
-4.6581 2.6646 -5.4175 Se
-6.4376 0.7138 -3.3096 Se
```